Entry 1:
{
  "formula": "Th4GaSe3",
  "functional": "PBE-GGA",
  "state": "optimized geometry",
  "lattice_angstrom": [[-1.410, 2.738, -5.138], [-5.822, -0.711, 1.218], [-0.053, 5.280, 2.828]],
  "species": ["Th", "Th", "Th", "Th", "Se", "Se", "Se", "Ga"],
  "frac_coords": [[0.500, 0.000, 0.000], [0.500, 0.500, 0.500], [0.000, 0.000, 0.500], [0.000, 0.500, 0.000], [0.500, 0.000, 0.500], [0.000, 0.500, 0.500], [0.500, 0.500, 0.000], [0.000, 0.000, 0.000]],
  "raw_formation_energy_ev_per_atom": -1.303,
  "energy_ev_per_atom": -6.70,
  "space_group": "Pm-3m, No. 221"
}

***

Entry 2:
{
  "formula": "Mn2CoPdSe6",
  "functional": "PBE-GGA",
  "state": "optimized geometry",
  "lattice_angstrom": [[6.395, -0.026, -0.027], [1.932, 7.862, -0.430], [1.932, -0.721, 7.841]],
  "species": ["Pd", "Pd", "Se", "Se", "Se", "Se", "Se", "Se", "Se", "Se", "Se", "Se", "Se", "Se", "Mn", "Mn", "Mn", "Mn", "Co", "Co"],
  "frac_coords": [[0.250, 0.237, 0.763], [0.750, 0.763, 0.237], [0.652, 0.064, 0.655], [0.567, 0.499, 0.295], [0.848, 0.345, 0.936], [0.067, 0.295, 0.499], [0.933, 0.705, 0.501], [0.152, 0.655, 0.064], [0.645, 0.806, 0.950], [0.355, 0.194, 0.050], [0.433, 0.501, 0.705], [0.855, 0.050, 0.194], [0.145, 0.950, 0.806], [0.348, 0.936, 0.345], [0.798, 0.538, 0.728], [0.702, 0.272, 0.462], [0.202, 0.462, 0.272], [0.298, 0.728, 0.538], [0.250, 0.924, 0.076], [0.750, 0.076, 0.924]],
  "raw_formation_energy_ev_per_atom": -0.279,
  "energy_ev_per_atom": -5.43,
  "space_group": "C2/c, No. 15"
}

***

Entry 3:
{
  "formula": "LiCa5Tl6",
  "functional": "PBE-GGA",
  "state": "optimized geometry",
  "lattice_angstrom": [[-0.388, 3.252, -4.311], [-6.402, -6.762, -1.108], [-0.308, 5.497, 7.591]],
  "species": ["Tl", "Tl", "Tl", "Tl", "Tl", "Tl", "Ca", "Ca", "Ca", "Ca", "Ca", "Li"],
  "frac_coords": [[0.234, 0.075, 0.395], [0.234, 0.395, 0.075], [0.766, 0.925, 0.605], [0.766, 0.605, 0.925], [0.726, 0.225, 0.225], [0.274, 0.775, 0.775], [0.500, 0.172, 0.828], [0.000, 0.337, 0.663], [0.500, 0.500, 0.500], [0.500, 0.828, 0.172], [0.000, 0.663, 0.337], [0.000, 0.000, 0.000]],
  "energy_ev_per_atom": -2.57,
  "space_group": "C2/m, No. 12",
  "delta_e_f_ev_per_atom": -0.39
}

***

Entry 4:
{
  "formula": "ZnAsRu2",
  "functional": "PBE-GGA",
  "state": "optimized geometry",
  "lattice_angstrom": [[6.894, 0.000, 0.000], [0.000, 6.894, 0.000], [3.447, 3.447, 2.722]],
  "species": ["Zn", "Zn", "Ru", "Ru", "Ru", "Ru", "As", "As"],
  "frac_coords": [[0.250, 0.750, 0.500], [0.500, 0.500, 0.000], [0.875, 0.921, 0.750], [0.671, 0.125, 0.250], [0.079, 0.625, 0.250], [0.375, 0.329, 0.750], [0.000, 0.000, 0.000], [0.750, 0.250, 0.500]],
  "de_polymorph_mev_per_atom": 453,
  "energy_ev_per_atom": -5.77,
  "space_group": "I-42d, No. 122",
  "delta_e_f_ev_per_atom": 0.35
}

***

Entry 5:
{
  "formula": "Hg3IrAu",
  "functional": "PBE-GGA",
  "state": "optimized geometry",
  "lattice_angstrom": [[-0.349, 4.983, -1.522], [-3.140, 1.016, 4.047], [4.158, 1.185, 2.928]],
  "species": ["Ir", "Hg", "Hg", "Hg", "Au"],
  "frac_coords": [[0.000, 0.000, 0.000], [0.500, 0.000, 0.000], [0.000, 0.000, 0.500], [0.000, 0.500, 0.000], [0.500, 0.500, 0.500]],
  "de_polymorph_mev_per_atom": 0,
  "energy_ev_per_atom": -1.96,
  "space_group": "Pm-3m, No. 221",
  "delta_e_f_ev_per_atom": 0.64
}

***

Entry 6:
{
  "formula": "AcMgCuPt2",
  "functional": "PBE-GGA",
  "state": "optimized geometry",
  "lattice_angstrom": [[4.115, 0.000, 0.000], [0.000, 4.115, 0.000], [-2.057, -2.057, 6.181]],
  "species": ["Pt", "Pt", "Cu", "Mg", "Ac"],
  "frac_coords": [[0.612, 0.612, 0.224], [0.388, 0.388, 0.776], [0.250, 0.750, 0.500], [0.750, 0.250, 0.500], [0.000, 0.000, 0.000]],
  "energy_ev_per_atom": -5.15,
  "space_group": "I-4m2, No. 119",
  "delta_e_f_ev_per_atom": -0.78
}

***

Entry 7:
{
  "formula": "Pr3In5F12",
  "functional": "PBE-GGA",
  "state": "optimized geometry",
  "lattice_angstrom": [[12.919, 0.000, 0.000], [-4.306, 12.181, 0.000], [-4.306, -6.090, 10.549]],
  "species": ["F", "F", "F", "F", "F", "F", "F", "F", "F", "F", "F", "F", "F", "F", "F", "F", "F", "F", "F", "F", "F", "F", "F", "F", "F", "F", "F", "F", "F", "F", "F", "F", "F", "F", "F", "F", "F", "F", "F", "F", "F", "F", "F", "F", "F", "F", "F", "F", "In", "In", "In", "In", "In", "In", "In", "In", "In", "In", "In", "In", "In", "In", "In", "In", "In", "In", "In", "In", "Pr", "Pr", "Pr", "Pr", "Pr", "Pr", "Pr", "Pr", "Pr", "Pr", "Pr", "Pr"],
  "frac_coords": [[0.947, 0.111, 0.866], [0.419, 0.754, 0.866], [0.336, 0.754, 0.389], [0.389, 0.134, 0.553], [0.919, 0.366, 0.254], [0.836, 0.889, 0.254], [0.611, 0.746, 0.664], [0.746, 0.611, 0.164], [0.866, 0.611, 0.947], [0.134, 0.746, 0.581], [0.389, 0.254, 0.336], [0.746, 0.134, 0.081], [0.447, 0.081, 0.336], [0.254, 0.866, 0.919], [0.754, 0.419, 0.366], [0.053, 0.889, 0.134], [0.081, 0.634, 0.746], [0.246, 0.664, 0.111], [0.866, 0.254, 0.419], [0.634, 0.553, 0.889], [0.447, 0.366, 0.611], [0.111, 0.164, 0.246], [0.947, 0.836, 0.581], [0.611, 0.866, 0.447], [0.111, 0.947, 0.366], [0.889, 0.053, 0.634], [0.919, 0.553, 0.164], [0.081, 0.447, 0.836], [0.246, 0.581, 0.634], [0.664, 0.246, 0.611], [0.581, 0.246, 0.134], [0.664, 0.419, 0.553], [0.581, 0.336, 0.947], [0.366, 0.919, 0.754], [0.164, 0.053, 0.919], [0.836, 0.947, 0.081], [0.889, 0.836, 0.754], [0.366, 0.447, 0.111], [0.419, 0.664, 0.053], [0.754, 0.336, 0.889], [0.634, 0.081, 0.246], [0.164, 0.111, 0.746], [0.553, 0.919, 0.664], [0.553, 0.634, 0.389], [0.134, 0.389, 0.053], [0.336, 0.581, 0.447], [0.053, 0.164, 0.419], [0.254, 0.389, 0.836], [0.250, 0.875, 0.125], [0.500, 0.500, 0.000], [0.500, 0.000, 0.000], [0.625, 0.875, 0.250], [0.500, 0.500, 0.500], [0.500, 0.000, 0.500], [0.750, 0.125, 0.875], [0.250, 0.375, 0.625], [0.375, 0.125, 0.750], [0.375, 0.250, 0.125], [0.125, 0.750, 0.375], [0.125, 0.375, 0.250], [0.000, 0.500, 0.000], [0.000, 0.000, 0.500], [0.750, 0.625, 0.375], [0.875, 0.625, 0.750], [0.000, 0.000, 0.000], [0.875, 0.250, 0.625], [0.625, 0.750, 0.875], [0.000, 0.500, 0.500], [0.625, 0.375, 0.750], [0.750, 0.875, 0.625], [0.125, 0.875, 0.750], [0.375, 0.750, 0.625], [0.875, 0.750, 0.125], [0.375, 0.625, 0.250], [0.750, 0.375, 0.125], [0.125, 0.250, 0.875], [0.250, 0.125, 0.375], [0.625, 0.250, 0.375], [0.875, 0.125, 0.250], [0.250, 0.625, 0.875]],
  "raw_formation_energy_ev_per_atom": -2.539,
  "energy_ev_per_atom": -5.06,
  "space_group": "Ia-3d, No. 230"
}

***

Entry 8:
{
  "formula": "Re4Ag",
  "functional": "PBE-GGA",
  "state": "optimized geometry",
  "lattice_angstrom": [[2.977, -3.457, 4.173], [3.293, 2.318, 4.692], [-5.507, 0.549, -2.758]],
  "species": ["Re", "Re", "Re", "Re", "Ag"],
  "frac_coords": [[0.384, 0.384, 0.000], [0.750, 0.250, 0.500], [0.250, 0.750, 0.500], [0.616, 0.616, 0.000], [0.000, 0.000, 0.000]],
  "de_polymorph_mev_per_atom": 248,
  "energy_ev_per_atom": -9.89,
  "space_group": "I4/mmm, No. 139",
  "delta_e_f_ev_per_atom": 0.63
}

***

Entry 9:
{
  "formula": "K2BaInSn2",
  "functional": "PBE-GGA",
  "state": "optimized geometry",
  "lattice_angstrom": [[5.125, 0.000, 0.000], [0.000, 8.710, 0.000], [0.000, 0.000, 10.206]],
  "species": ["K", "K", "K", "K", "Sn", "Sn", "Sn", "Sn", "Ba", "Ba", "In", "In"],
  "frac_coords": [[0.000, 0.341, 0.158], [0.500, 0.516, 0.918], [0.000, 0.841, 0.842], [0.500, 0.016, 0.082], [0.500, 0.293, 0.389], [0.000, 0.235, 0.817], [0.500, 0.793, 0.611], [0.000, 0.735, 0.183], [0.000, 0.005, 0.451], [0.000, 0.505, 0.549], [0.500, 0.655, 0.329], [0.500, 0.155, 0.671]],
  "energy_ev_per_atom": -2.80,
  "space_group": "Pmc2_1, No. 26",
  "delta_e_f_ev_per_atom": -0.33
}

***

Entry 10:
{
  "formula": "PmSnI",
  "functional": "PBE-GGA",
  "state": "optimized geometry",
  "lattice_angstrom": [[-2.304, 2.940, 2.125], [-2.501, -3.111, 1.592], [9.058, -0.903, 6.662]],
  "species": ["I", "I", "Pm", "Pm", "Sn", "Sn"],
  "frac_coords": [[0.321, 0.824, 0.649], [0.679, 0.176, 0.351], [0.889, 0.391, 0.782], [0.111, 0.609, 0.218], [0.500, 0.500, 0.000], [0.000, 0.000, 0.000]],
  "de_polymorph_mev_per_atom": 0,
  "raw_formation_energy_ev_per_atom": -0.974,
  "energy_ev_per_atom": -4.41,
  "space_group": "C2/m, No. 12"
}

***

Entry 11:
{
  "formula": "TeP2Cl",
  "functional": "PBE-GGA",
  "state": "optimized geometry",
  "lattice_angstrom": [[-0.120, -0.505, 5.218], [-0.301, -4.044, -3.325], [4.018, -0.347, 0.059]],
  "species": ["P", "P", "Te", "Cl"],
  "frac_coords": [[0.000, 0.000, 0.000], [0.500, 0.500, 0.000], [0.500, 0.000, 0.500], [0.000, 0.500, 0.500]],
  "de_polymorph_mev_per_atom": 852,
  "raw_formation_energy_ev_per_atom": 0.755,
  "energy_ev_per_atom": -3.20,
  "space_group": "Cmmm, No. 65"
}

***

Entry 12:
{
  "formula": "IrRu2",
  "functional": "PBE-GGA",
  "state": "optimized geometry",
  "lattice_angstrom": [[-1.865, -1.158, 1.637], [-0.501, -2.354, -4.526], [3.761, -5.179, 0.623]],
  "species": ["Ru", "Ru", "Ru", "Ru", "Ir", "Ir"],
  "frac_coords": [[0.721, 0.442, 0.057], [0.056, 0.113, 0.387], [0.666, 0.332, 0.668], [0.001, 0.003, 0.999], [0.389, 0.778, 0.723], [0.333, 0.666, 0.332]],
  "de_polymorph_mev_per_atom": 11,
  "energy_ev_per_atom": -9.18,
  "space_group": "C2/m, No. 12",
  "delta_e_f_ev_per_atom": -0.04
}

***

In μB/cell, the total magnetization values for the records above are, in order, 0.0, 13.7, 0.0, 0.0, 0.0, 0.0, 0.0, 0.0, 0.0, 0.0, 0.0, 0.0.